Record 1
Density functional theory data (PBE-GGA) for an optimized crystal structure of AgSn3Ru.

E_form = 0.24 eV per atom
ΔE to the lowest computed polymorph = 0 meV/atom

a = 5.119 Å, b = 5.119 Å, c = 5.119 Å
α = 90.00°, β = 90.00°, γ = 90.00°
Positions (direct):
Sn1 0.000 0.500 0.000
Ru1 0.000 0.000 0.000
Sn2 0.000 0.000 0.500
Sn3 0.500 0.000 0.000
Ag1 0.500 0.500 0.500

=====

Record 2
Density functional theory data (PBE-GGA) for an optimized crystal structure of Ag2SnRu.

E_form = 0.37 eV per atom

a = 3.845 Å, b = 3.845 Å, c = 10.684 Å
α = 79.63°, β = 79.63°, γ = 90.00°
Positions (direct):
Ag1 0.620 0.125 0.250
Ru1 0.500 0.500 0.000
Ag2 0.875 0.870 0.750
Ag3 0.375 0.380 0.750
Sn1 0.750 0.250 0.500
Sn2 0.000 0.000 0.000
Ru2 0.250 0.750 0.500
Ag4 0.130 0.625 0.250

=====

Record 3
Density functional theory data (PBE-GGA) for an optimized crystal structure of Ag3SnRu.

E_form = 1.13 eV per atom
ΔE to the lowest computed polymorph = 0 meV/atom

a = 5.061 Å, b = 5.061 Å, c = 5.061 Å
α = 90.00°, β = 90.00°, γ = 90.00°
Positions (direct):
Ag1 0.500 0.000 0.000
Ag2 0.000 0.000 0.500
Sn1 0.500 0.500 0.500
Ag3 0.000 0.500 0.000
Ru1 0.000 0.000 0.000

=====

Record 4
Density functional theory data (PBE-GGA) for an optimized crystal structure of SrAgSn2Ru.

E_form = 1.53 eV per atom

a = 5.947 Å, b = 4.833 Å, c = 5.947 Å
α = 90.00°, β = 90.00°, γ = 90.00°
Positions (direct):
Ag1 0.500 0.500 0.500
Sn1 0.500 0.000 0.000
Sr1 0.000 0.000 0.000
Sn2 0.000 0.000 0.500
Ru1 0.000 0.500 0.000

=====

Record 5
Density functional theory data (PBE-GGA) for an optimized crystal structure of TmAgSnRu.

E_form = -0.26 eV per atom

a = 4.774 Å, b = 4.774 Å, c = 4.774 Å
α = 60.00°, β = 60.00°, γ = 60.00°
Positions (direct):
Ag1 0.250 0.250 0.250
Sn1 0.500 0.500 0.500
Tm1 0.000 0.000 0.000
Ru1 0.750 0.750 0.750

=====

Record 6
Density functional theory data (PBE-GGA) for an optimized crystal structure of YAgSnRu.

E_form = -0.23 eV per atom

a = 4.817 Å, b = 4.817 Å, c = 4.817 Å
α = 60.00°, β = 60.00°, γ = 60.00°
Positions (direct):
Y1 0.500 0.500 0.500
Sn1 0.000 0.000 0.000
Ag1 0.250 0.250 0.250
Ru1 0.750 0.750 0.750

=====

Record 7
Density functional theory data (PBE-GGA) for an optimized crystal structure of Sr2AgRu.

E_form = 0.47 eV per atom

a = 5.189 Å, b = 5.189 Å, c = 5.189 Å
α = 60.00°, β = 60.00°, γ = 60.00°
Positions (direct):
Sr1 0.000 0.000 0.000
Sr2 0.250 0.250 0.250
Ag1 0.500 0.500 0.500
Ru1 0.750 0.750 0.750

=====

Record 8
Density functional theory data (PBE-GGA) for an optimized crystal structure of SrAgRu.

E_form = 0.51 eV per atom
ΔE to the lowest computed polymorph = 11 meV/atom

a = 4.580 Å, b = 4.580 Å, c = 4.000 Å
α = 90.00°, β = 90.00°, γ = 120.00°
Positions (direct):
Sr1 0.333 0.667 0.667
Ag1 0.000 0.000 0.167
Ru1 0.667 0.333 0.167

=====

> Look up the E_form of the second one.

0.37 eV per atom

=====

> The lowest E_form belongs to which entry?

TmAgSnRu

=====

> The lowest E_form belongs to which entry?

TmAgSnRu